# PaTlAuO5

An optimized crystal structure of PaTlAuO5 (PBE, the Alexandria database).

```
16
Lattice="3.3237 -4.9927 0.0000 3.3237 4.9927 0.0000 -2.2049 0.0000 8.0729" Properties=species:S:1:pos:R:3 pbc="T T T"
Pa 0.0000 0.0000 0.0000
Pa -1.1025 0.0000 4.0364
Tl 1.6700 1.8135 6.0547
Tl 2.7724 -1.8135 2.0182
Au 2.7724 1.5564 2.0182
Au 1.6700 -1.5564 6.0547
O 1.6700 4.2578 6.0547
O 2.9557 3.0321 0.6276
O 2.5891 3.0321 3.4089
O 2.1402 0.1036 0.7436
O 1.0377 -0.1036 4.7801
O 3.4047 0.1036 3.2928
O 2.3022 -0.1036 7.3293
O 1.8533 -3.0321 4.6640
O 1.4867 -3.0321 7.4453
O 2.7724 -4.2578 2.0182
```

Calculated values
calculated volume	267.92	Å³ per cell
VASP energy	-6.53	eV per atom
crystal system	monoclinic

---

# PaTl2AuO4

An optimized crystal structure of PaTl2AuO4 (PBE, the Alexandria database).

```
8
Lattice="-3.3253 3.3253 3.7242 3.3253 -3.3253 3.7242 3.3253 3.3253 -3.7242" Properties=species:S:1:pos:R:3 pbc="T T T"
Pa 0.0000 0.0000 0.0000
Tl 3.3253 0.0000 1.8621
Tl 0.0000 0.0000 3.7242
Au 0.0000 3.3253 1.8621
O -1.0336 1.3003 1.2478
O 2.0251 2.2918 2.4765
O 1.0336 5.3504 1.2478
O -2.0251 4.3589 2.4765
```

Calculated values
calculated volume	164.73	Å³ per cell
VASP energy	-6.09	eV per atom
crystal system	tetragonal

---

# PaTl2Au2O6

An optimized crystal structure of PaTl2Au2O6 (PBE, the Alexandria database).

```
11
Lattice="5.9727 -2.9066 0.0000 5.9727 2.9066 0.0000 -5.3758 0.0000 6.1721" Properties=species:S:1:pos:R:3 pbc="T T T"
Pa 0.0000 0.0000 0.0000
Tl -0.9952 0.0000 3.8435
Tl 7.5649 0.0000 2.3286
Au 3.9114 0.0000 1.2291
Au 2.6583 0.0000 4.9429
O 1.1217 1.3590 4.7195
O 1.9783 0.0000 0.8531
O 5.4479 1.3590 1.4526
O 1.1217 -1.3590 4.7195
O 4.5914 0.0000 5.3189
O 5.4479 -1.3590 1.4526
```

Calculated values
calculated volume	214.30	Å³ per cell
VASP energy	-5.76	eV per atom
crystal system	monoclinic